CaLa2Si: single point on PBEsol structure, SCAN.

As for the density of states at the Fermi level: 11.8 states/eV per cell. As for the uncorrected energy: -0.9823 hartree per atom. As for the total magnetic moment: 0.06 μB per formula unit. The formation energy from raw total energies comes out at -0.26 eV/atom.

The structure belongs to space group R-3m (No. 166, hexagonal axes); the cell edges are 4.0829, 4.0829 and 30.4630 Å and the angles 90.00°, 90.00° and 120.00°. The asymmetric unit holds Ca at (0.0000, 0.0000, 0.0000), La at (0.0000, 0.0000, 0.2235) and Si at (0.0000, 0.0000, 0.5000).